Entry 1:
LaAg3Sn | PBE | relaxed

a b c (Å): 5.1757 5.1757 5.1757
angles (deg): 90.00 90.00 90.00
Last column: nearest neighbours and their distance in Å.
Space group Pm-3m (No. 221)
One atom of each set of equivalent atoms:
La (0.0000, 0.0000, 0.0000) (multiplicity 1)  12 Ag 3.66
Ag (0.0000, 0.5000, 0.5000) (multiplicity 3)  2 Sn 2.59
Sn (0.5000, 0.5000, 0.5000) (multiplicity 1)  6 Ag 2.59

Summary:
crystal system: cubic
excess energy over the best structure of this formula in the dataset: 404 meV/atom
ΔE_f: 150.8 meV/atom


Entry 2:
La2AgSn4 | PBE | relaxed

a b c (Å): 5.2654 5.2654 16.1502
angles (deg): 90.00 90.00 90.00
Last column: nearest neighbours and their distance in Å.
Space group I4/mmm (No. 139)
One atom of each set of equivalent atoms:
La (0.0000, 0.0000, 0.1339) (multiplicity 4)  5 Sn 3.18-3.41
Ag (0.0000, 0.0000, 0.5000) (multiplicity 2)  6 Sn 2.63-2.73
Sn (0.0000, 0.0000, 0.3307) (multiplicity 4)  1 Ag 2.73
Sn (0.0000, 0.5000, 0.0000) (multiplicity 4)  2 Ag 2.63

Summary:
crystal system: tetragonal
ΔE_f: -218.9 meV/atom


Entry 3:
La3Ag4Sn2 | PBE | relaxed

a b c (Å): 11.4800 4.8253 9.3623
angles (deg): 90.00 113.92 90.00
Last column: nearest neighbours and their distance in Å.
Space group C2/m (No. 12)
One atom of each set of equivalent atoms:
La (0.0000, 0.0000, 0.0000) (multiplicity 2)  8 Ag 3.34-3.63, 4 Sn 3.45
La (0.1566, 0.5000, 0.6749) (multiplicity 4)  8 Ag 3.26-3.47, 4 Sn 3.37-3.51
Ag (0.0801, 0.0000, 0.4169) (multiplicity 4)  2 Sn 2.84, 1 Ag 2.85
Ag (0.2130, 0.5000, 0.0455) (multiplicity 4)  2 Ag 2.80, 1 Sn 2.83
Sn (0.1220, 0.5000, 0.2851) (multiplicity 4)  3 Ag 2.83-2.84

Summary:
crystal system: monoclinic
ΔE_f: -500.6 meV/atom


Entry 4:
La2Ag2Sn3 | PBE | relaxed

a b c (Å): 4.8095 20.5051 7.5598
angles (deg): 90.00 90.00 90.00
Last column: nearest neighbours and their distance in Å.
Space group Cmcm (No. 63)
One atom of each set of equivalent atoms:
La (0.0000, 0.0481, 0.2500) (multiplicity 4)  9 Sn 3.37-3.65
La (0.0000, 0.1581, 0.7500) (multiplicity 4)  6 Ag 3.35-3.42, 6 Sn 3.38-3.49
Ag (0.0000, 0.3048, 0.5550) (multiplicity 8)  4 Sn 2.78-2.91, 1 Ag 2.95
Sn (0.0000, 0.2186, 0.2500) (multiplicity 4)  6 Ag 2.86-2.91
Sn (0.0000, 0.4340, 0.0585) (multiplicity 8)  1 Ag 2.78, 2 Sn 2.85-2.90

Summary:
crystal system: orthorhombic
ΔE_f: -590.7 meV/atom


Entry 5:
LaAg4Sn4 | PBE | relaxed

a b c (Å): 6.6499 6.6499 9.8857
angles (deg): 90.00 90.00 90.00
Last column: nearest neighbours and their distance in Å.
Space group P4_2/nmc (No. 137, origin choice 2)
One atom of each set of equivalent atoms:
La (0.2500, 0.7500, 0.2500) (multiplicity 2)  4 Sn 3.32, 8 Ag 3.68
Ag (0.0342, 0.2500, 0.1847) (multiplicity 8)  5 Sn 2.79-3.01, 3 Ag 2.87-2.97
Sn (0.0193, 0.2500, 0.4671) (multiplicity 8)  5 Ag 2.79-3.01, 1 Sn 3.07

Summary:
crystal system: tetragonal
ΔE_f: -145.1 meV/atom


Entry 6:
La2Ag3Sn2 | PBE | relaxed

a b c (Å): 11.3555 4.7534 7.0841
angles (deg): 90.00 110.40 90.00
Last column: nearest neighbours and their distance in Å.
Space group C2/m (No. 12)
One atom of each set of equivalent atoms:
La (0.1457, 0.0000, 0.2503) (multiplicity 4)  5 Ag 3.22-3.54, 4 Sn 3.31-3.41
Ag (0.0000, 0.5000, 0.5000) (multiplicity 2)  2 Ag 2.83, 4 Sn 3.04
Ag (0.0994, 0.5000, 0.9261) (multiplicity 4)  2 Ag 2.80-2.83, 3 Sn 2.89-3.04
Sn (0.1477, 0.0000, 0.7323) (multiplicity 4)  5 Ag 2.89-3.04

Summary:
crystal system: monoclinic
ΔE_f: -473.4 meV/atom


Entry 7:
SrLaAgSn2 | PBE | relaxed

a b c (Å): 5.9301 5.9301 5.7987
angles (deg): 90.00 90.00 90.00
Last column: nearest neighbours and their distance in Å.
Space group P4/mmm (No. 123)
One atom of each set of equivalent atoms:
Sr (0.0000, 0.0000, 0.0000) (multiplicity 1)  2 La 2.90, 4 Sn 2.97
La (0.0000, 0.0000, 0.5000) (multiplicity 1)  2 Sr 2.90
Ag (0.5000, 0.5000, 0.5000) (multiplicity 1)  8 Sn 4.15, 4 La 4.19
Sn (0.0000, 0.5000, 0.0000) (multiplicity 2)  2 Sr 2.97

Summary:
crystal system: tetragonal
ΔE_f: 913.5 meV/atom


Entry 8:
LaTb2Ag2Sn2 | PBE | relaxed

a b c (Å): 4.9083 4.9083 26.5719
angles (deg): 90.00 90.00 120.00
Last column: nearest neighbours and their distance in Å.
Space group R-3m (No. 166, hexagonal axes)
One atom of each set of equivalent atoms:
La (0.0000, 0.0000, 0.0000) (multiplicity 3)  6 Sn 3.41, 2 Tb 3.59
Tb (0.0000, 0.0000, 0.1350) (multiplicity 6)  3 Ag 2.94
Ag (0.0000, 0.0000, 0.4394) (multiplicity 6)  3 Tb 2.94, 3 Sn 2.98, 1 Ag 3.22
Sn (0.0000, 0.0000, 0.2619) (multiplicity 6)  3 Ag 2.98, 3 Tb 3.30

Summary:
crystal system: trigonal
ΔE_f: -475.6 meV/atom


Entry 9:
La2AgSnTe5 | PBE | relaxed

a b c (Å): 4.5535 20.0022 13.1820
angles (deg): 90.00 90.00 90.00
Last column: nearest neighbours and their distance in Å.
Space group Cmc2_1 (No. 36)
One atom of each set of equivalent atoms:
La (0.0000, 0.1188, 0.0000) (multiplicity 4)  7 Te 3.28-3.46, 2 Ag 3.50
La (0.0000, 0.1205, 0.6219) (multiplicity 4)  8 Te 3.29-3.61
Ag (0.0000, 0.2578, 0.4240) (multiplicity 4)  4 Te 2.72-3.00
Sn (0.0000, 0.4105, 0.7946) (multiplicity 4)  5 Te 2.94-3.06
Te (0.0000, 0.0335, 0.4069) (multiplicity 4)  2 Sn 2.94, 1 La 3.28
Te (0.0000, 0.3007, 0.6421) (multiplicity 4)  1 Sn 2.98, 1 Ag 3.00
Te (0.0000, 0.3126, 0.9728) (multiplicity 4)  2 Ag 2.75, 1 Sn 3.06
Te (0.0000, 0.3712, 0.3106) (multiplicity 4)  1 Ag 2.72
Te (0.0000, 0.4920, 0.6035) (multiplicity 4)  1 Sn 3.00

Summary:
raw formation energy: -0.9075 eV per atom
crystal system: orthorhombic


Entry 10:
LaAgSnTe2 | PBE | relaxed

a b c (Å): 5.3696 5.3696 5.7861
angles (deg): 90.00 90.00 90.00
Last column: nearest neighbours and their distance in Å.
Space group P4/mmm (No. 123)
One atom of each set of equivalent atoms:
La (0.0000, 0.0000, 0.0000) (multiplicity 1)  2 Ag 2.89
Ag (0.0000, 0.0000, 0.5000) (multiplicity 1)  4 Te 2.68, 2 La 2.89
Sn (0.5000, 0.5000, 0.0000) (multiplicity 1)  4 La 3.80, 8 Te 3.95
Te (0.0000, 0.5000, 0.5000) (multiplicity 2)  2 Ag 2.68

Summary:
raw formation energy: 0.0191 eV per atom
crystal system: tetragonal
excess energy over the best structure of this formula in the dataset: 0 meV/atom


Entry 11:
LaAgSnTe2 | PBE | relaxed

a b c (Å): 6.0771 6.0771 5.6489
angles (deg): 90.00 90.00 90.00
Last column: nearest neighbours and their distance in Å.
Space group P4/mmm (No. 123)
One atom of each set of equivalent atoms:
La (0.0000, 0.0000, 0.0000) (multiplicity 1)  2 Ag 2.82, 4 Te 3.04
Ag (0.0000, 0.0000, 0.5000) (multiplicity 1)  2 La 2.82
Sn (0.5000, 0.5000, 0.5000) (multiplicity 1)  8 Te 4.15, 4 Ag 4.30
Te (0.0000, 0.5000, 0.0000) (multiplicity 2)  2 La 3.04

Summary:
raw formation energy: 0.0817 eV per atom
crystal system: tetragonal
excess energy over the best structure of this formula in the dataset: 63 meV/atom


Entry 12:
LaThAgSn | PBE | relaxed

a b c (Å): 7.6933 7.6933 7.6933
angles (deg): 90.00 90.00 90.00
Last column: nearest neighbours and their distance in Å.
Space group F-43m (No. 216)
One atom of each set of equivalent atoms:
La (0.0000, 0.0000, 0.0000) (multiplicity 4)  4 Ag 3.33, 4 Sn 3.33
Th (0.0000, 0.0000, 0.5000) (multiplicity 4)  4 Sn 3.33, 4 Ag 3.33
Ag (0.2500, 0.2500, 0.2500) (multiplicity 4)  4 La 3.33, 4 Th 3.33
Sn (0.2500, 0.2500, 0.7500) (multiplicity 4)  4 La 3.33, 4 Th 3.33

Summary:
crystal system: cubic
ΔE_f: -371.3 meV/atom


Entry 13:
La2ThAg2Sn2 | PBE | relaxed

a b c (Å): 4.8197 4.8197 28.1549
angles (deg): 90.00 90.00 120.00
Last column: nearest neighbours and their distance in Å.
Space group R-3m (No. 166, hexagonal axes)
One atom of each set of equivalent atoms:
La (0.0000, 0.0000, 0.1355) (multiplicity 6)  3 Ag 3.23, 3 La 3.29, 3 Sn 3.40
Th (0.0000, 0.0000, 0.0000) (multiplicity 3)  6 Sn 3.35, 6 Ag 3.54
Ag (0.0000, 0.0000, 0.4109) (multiplicity 6)  3 Sn 2.80
Sn (0.0000, 0.0000, 0.2672) (multiplicity 6)  3 Ag 2.80

Summary:
crystal system: trigonal
ΔE_f: -361.0 meV/atom


Entry 14:
LaTi2AgSn | PBE | relaxed

a b c (Å): 5.1245 5.1245 5.1222
angles (deg): 90.00 90.00 90.00
Last column: nearest neighbours and their distance in Å.
Space group P4/mmm (No. 123)
One atom of each set of equivalent atoms:
La (0.0000, 0.0000, 0.0000) (multiplicity 1)  8 Ti 3.62, 4 Sn 3.62
Ti (0.0000, 0.5000, 0.5000) (multiplicity 2)  2 Ag 2.56
Ag (0.5000, 0.5000, 0.5000) (multiplicity 1)  2 Sn 2.56, 4 Ti 2.56
Sn (0.5000, 0.5000, 0.0000) (multiplicity 1)  2 Ag 2.56

Summary:
crystal system: tetragonal
ΔE_f: 513.4 meV/atom


Entry 15:
LaTm2Ag2Sn2 | PBE | relaxed

a b c (Å): 4.8838 4.8838 26.2526
angles (deg): 90.00 90.00 120.00
Last column: nearest neighbours and their distance in Å.
Space group R-3m (No. 166, hexagonal axes)
One atom of each set of equivalent atoms:
La (0.0000, 0.0000, 0.0000) (multiplicity 3)  6 Sn 3.40, 2 Tm 3.54
Tm (0.0000, 0.0000, 0.1349) (multiplicity 6)  3 Ag 2.91
Ag (0.0000, 0.0000, 0.4415) (multiplicity 6)  3 Tm 2.91, 3 Sn 2.97, 1 Ag 3.07
Sn (0.0000, 0.0000, 0.2607) (multiplicity 6)  3 Ag 2.97, 4 Tm 3.26-3.30

Summary:
crystal system: trigonal
ΔE_f: -477.5 meV/atom


Entry 16:
La2TmAg3Sn4 | PBE | relaxed

a b c (Å): 4.6451 4.6451 12.2833
angles (deg): 90.00 90.00 90.00
Last column: nearest neighbours and their distance in Å.
Space group P-4m2 (No. 115)
One atom of each set of equivalent atoms:
La (0.0000, 0.5000, 0.2344) (multiplicity 2)  4 Ag 3.52, 8 Sn 3.58-3.70
Tm (0.0000, 0.0000, 0.5000) (multiplicity 1)  4 Sn 2.97, 4 Ag 3.28
Ag (0.0000, 0.5000, 0.8679) (multiplicity 2)  5 Sn 2.67-2.83
Ag (0.5000, 0.5000, 0.5000) (multiplicity 1)  4 Sn 2.97, 4 Tm 3.28
Sn (0.0000, 0.0000, 0.0000) (multiplicity 1)  4 Ag 2.83
Sn (0.0000, 0.5000, 0.6502) (multiplicity 2)  3 Ag 2.67-2.97, 2 Tm 2.97
Sn (0.5000, 0.5000, 0.0000) (multiplicity 1)  4 Ag 2.83

Summary:
crystal system: tetragonal
ΔE_f: -478.6 meV/atom


Entry 17:
LaY2AgSn | PBE | relaxed

a b c (Å): 5.7261 5.7261 5.3153
angles (deg): 90.00 90.00 90.00
Last column: nearest neighbours and their distance in Å.
Space group P4/mmm (No. 123)
One atom of each set of equivalent atoms:
La (0.0000, 0.0000, 0.0000) (multiplicity 1)  2 Ag 2.66, 4 Y 2.86
Y (0.0000, 0.5000, 0.0000) (multiplicity 2)  2 La 2.86
Ag (0.0000, 0.0000, 0.5000) (multiplicity 1)  2 La 2.66
Sn (0.5000, 0.5000, 0.5000) (multiplicity 1)  8 Y 3.91, 4 Ag 4.05

Summary:
crystal system: tetragonal
ΔE_f: 847.9 meV/atom


Entry 18:
LaY2Ag2Sn2 | PBE | relaxed

a b c (Å): 4.9096 4.9096 26.5688
angles (deg): 90.00 90.00 120.00
Last column: nearest neighbours and their distance in Å.
Space group R-3m (No. 166, hexagonal axes)
One atom of each set of equivalent atoms:
La (0.0000, 0.0000, 0.0000) (multiplicity 3)  6 Sn 3.41, 2 Y 3.58
Y (0.0000, 0.0000, 0.1347) (multiplicity 6)  3 Ag 2.93
Ag (0.0000, 0.0000, 0.4396) (multiplicity 6)  3 Y 2.93, 3 Sn 2.98, 1 Ag 3.21
Sn (0.0000, 0.0000, 0.2617) (multiplicity 6)  3 Ag 2.98, 3 Y 3.29

Summary:
crystal system: trigonal
ΔE_f: -480.7 meV/atom


Entry 19:
SrLaAg | PBE | relaxed

a b c (Å): 7.6103 7.6103 7.6103
angles (deg): 90.00 90.00 90.00
Last column: nearest neighbours and their distance in Å.
Space group F-43m (No. 216)
One atom of each set of equivalent atoms:
Sr (0.0000, 0.0000, 0.0000) (multiplicity 4)  4 Ag 3.30
La (0.0000, 0.0000, 0.5000) (multiplicity 4)  4 Ag 3.30
Ag (0.2500, 0.2500, 0.2500) (multiplicity 4)  4 La 3.30, 4 Sr 3.30

Summary:
crystal system: cubic
excess energy over the best structure of this formula in the dataset: 137 meV/atom
ΔE_f: 20.9 meV/atom


Entry 20:
SrLaAg | PBE | relaxed

a b c (Å): 3.8506 3.8506 14.1140
angles (deg): 90.00 90.00 90.00
Last column: nearest neighbours and their distance in Å.
Space group I4mm (No. 107)
One atom of each set of equivalent atoms:
Sr (0.0000, 0.0000, 0.0000) (multiplicity 2)  4 Ag 3.41
La (0.0000, 0.0000, 0.7285) (multiplicity 2)  4 Ag 3.25
Ag (0.0000, 0.0000, 0.3542) (multiplicity 2)  4 La 3.25, 4 Sr 3.41

Summary:
crystal system: tetragonal
excess energy over the best structure of this formula in the dataset: 0 meV/atom
ΔE_f: -116.2 meV/atom